(1)
Computed, not measured: Ca3MnIr after structural relaxation at the PBE-GGA level of DFT.

Output
* magnetization: 0.00 μB per cell
* offset from the most stable computed form: 4.22 eV per formula unit

The structure in CIF format:
```
data_Ca3MnIr
_symmetry_space_group_name_H-M 'P m -3 m'
_symmetry_Int_Tables_number 221
_symmetry_space_group_name_Hall '-P 4 2 3'
_cell_length_a 4.990
_cell_length_b 4.990
_cell_length_c 4.990
_cell_angle_alpha 90.00
_cell_angle_beta 90.00
_cell_angle_gamma 90.00
loop_
_atom_site_label
_atom_site_type_symbol
_atom_site_fract_x
_atom_site_fract_y
_atom_site_fract_z
_atom_site_occupancy
Ca1 Ca 0.000 0.000 0.500 1
Mn1 Mn 0.000 0.000 0.000 1
Ir1 Ir 0.500 0.500 0.500 1
```

(2)
Computed, not measured: CaMn2Ir after structural relaxation at the PBE-GGA level of DFT.

Output
* magnetization: 7.99 μB per cell

The structure in CIF format:
```
data_CaMn2Ir
_symmetry_space_group_name_H-M 'P 4/m m m'
_symmetry_Int_Tables_number 123
_symmetry_space_group_name_Hall '-P 4 2'
_cell_length_a 3.202
_cell_length_b 3.202
_cell_length_c 7.356
_cell_angle_alpha 90.00
_cell_angle_beta 90.00
_cell_angle_gamma 90.00
loop_
_atom_site_label
_atom_site_type_symbol
_atom_site_fract_x
_atom_site_fract_y
_atom_site_fract_z
_atom_site_occupancy
Ca1 Ca 0.000 0.000 0.000 1
Mn1 Mn 0.500 0.500 0.312 1
Ir1 Ir 0.000 0.000 0.500 1
```

(3)
Computed, not measured: Ca2MnIr2 after structural relaxation at the PBE-GGA level of DFT.

Output
* magnetization: 0.00 μB per cell

The structure in CIF format:
```
data_Ca2MnIr2
_symmetry_space_group_name_H-M 'P 4/m b m'
_symmetry_Int_Tables_number 127
_symmetry_space_group_name_Hall '-P 4 2ab'
_cell_length_a 6.385
_cell_length_b 6.385
_cell_length_c 4.766
_cell_angle_alpha 90.00
_cell_angle_beta 90.00
_cell_angle_gamma 90.00
loop_
_atom_site_label
_atom_site_type_symbol
_atom_site_fract_x
_atom_site_fract_y
_atom_site_fract_z
_atom_site_occupancy
Ca1 Ca 0.179 0.321 0.000 1
Mn1 Mn 0.000 0.000 0.500 1
Ir1 Ir 0.140 0.640 0.500 1
```

(4)
Computed, not measured: Ca2MnIr after structural relaxation at the PBE-GGA level of DFT.

Output
* magnetization: 16.24 μB per cell
* offset from the most stable computed form: 0.81 eV per formula unit

The structure in CIF format:
```
data_Ca2MnIr
_symmetry_space_group_name_H-M 'F -4 3 m'
_symmetry_Int_Tables_number 216
_symmetry_space_group_name_Hall 'F -4 2 3'
_cell_length_a 6.899
_cell_length_b 6.899
_cell_length_c 6.899
_cell_angle_alpha 90.00
_cell_angle_beta 90.00
_cell_angle_gamma 90.00
loop_
_atom_site_label
_atom_site_type_symbol
_atom_site_fract_x
_atom_site_fract_y
_atom_site_fract_z
_atom_site_occupancy
Ca1 Ca 0.000 0.000 0.000 1
Ca2 Ca 0.250 0.250 0.250 1
Mn1 Mn 0.250 0.250 0.750 1
Ir1 Ir 0.000 0.000 0.500 1
```

(5)
Computed, not measured: CaMn2Ir after structural relaxation at the PBE-GGA level of DFT.

Output
* magnetization: 20.75 μB per cell

The structure in CIF format:
```
data_CaMn2Ir
_symmetry_space_group_name_H-M 'R -3 m'
_symmetry_Int_Tables_number 166
_symmetry_space_group_name_Hall '-R 3 2"'
_cell_length_a 2.9668
_cell_length_b 2.9668
_cell_length_c 27.9806
_cell_angle_alpha 90.00
_cell_angle_beta 90.00
_cell_angle_gamma 120.00
loop_
_atom_site_label
_atom_site_type_symbol
_atom_site_fract_x
_atom_site_fract_y
_atom_site_fract_z
_atom_site_occupancy
Ca1 Ca 0.0000 0.0000 0.0000 1
Mn1 Mn 0.0000 0.0000 0.2379 1
Ir1 Ir 0.0000 0.0000 0.5000 1
```

(6)
Computed, not measured: CaMn2Ir2 after structural relaxation at the PBE-GGA level of DFT.

Output
* magnetization: 13.51 μB per cell
* offset from the most stable computed form: 0.00 eV per formula unit

The structure in CIF format:
```
data_CaMn2Ir2
_symmetry_space_group_name_H-M 'P 4/m b m'
_symmetry_Int_Tables_number 127
_symmetry_space_group_name_Hall '-P 4 2ab'
_cell_length_a 7.601
_cell_length_b 7.601
_cell_length_c 2.811
_cell_angle_alpha 90.00
_cell_angle_beta 90.00
_cell_angle_gamma 90.00
loop_
_atom_site_label
_atom_site_type_symbol
_atom_site_fract_x
_atom_site_fract_y
_atom_site_fract_z
_atom_site_occupancy
Ca1 Ca 0.000 0.000 0.000 1
Mn1 Mn 0.136 0.364 0.000 1
Ir1 Ir 0.159 0.659 0.500 1
```

(7)
Computed, not measured: CaMn2Ir after structural relaxation at the PBE-GGA level of DFT.

Output
* magnetization: 20.09 μB per cell

The structure in CIF format:
```
data_CaMn2Ir
_symmetry_space_group_name_H-M 'R 3 m'
_symmetry_Int_Tables_number 160
_symmetry_space_group_name_Hall 'R 3 -2"'
_cell_length_a 2.9529
_cell_length_b 2.9529
_cell_length_c 27.2677
_cell_angle_alpha 90.00
_cell_angle_beta 90.00
_cell_angle_gamma 120.00
loop_
_atom_site_label
_atom_site_type_symbol
_atom_site_fract_x
_atom_site_fract_y
_atom_site_fract_z
_atom_site_occupancy
Ca1 Ca 0.0000 0.0000 0.0000 1
Mn1 Mn 0.0000 0.0000 0.2357 1
Mn2 Mn 0.0000 0.0000 0.4926 1
Ir1 Ir 0.0000 0.0000 0.7543 1
```

(8)
Computed, not measured: CaMn2Ir after structural relaxation at the PBE-GGA level of DFT.

Output
* magnetization: 7.66 μB per cell

The structure in CIF format:
```
data_CaMn2Ir
_symmetry_space_group_name_H-M 'P 1 m 1'
_symmetry_Int_Tables_number 6
_symmetry_space_group_name_Hall 'P -2y'
_cell_length_a 2.920
_cell_length_b 4.180
_cell_length_c 6.405
_cell_angle_alpha 90.00
_cell_angle_beta 102.92
_cell_angle_gamma 90.00
loop_
_atom_site_label
_atom_site_type_symbol
_atom_site_fract_x
_atom_site_fract_y
_atom_site_fract_z
_atom_site_occupancy
Ca1 Ca 0.000 0.000 0.000 1
Mn1 Mn 0.227 0.000 0.446 1
Mn2 Mn 0.345 0.500 0.693 1
Ir1 Ir 0.676 0.500 0.347 1
```

(9)
Computed, not measured: CaMn2Ir2 after structural relaxation at the PBE-GGA level of DFT.

Output
* magnetization: 0.00 μB per cell
* offset from the most stable computed form: 0.85 eV per formula unit

The structure in CIF format:
```
data_CaMn2Ir2
_symmetry_space_group_name_H-M 'P 4/m b m'
_symmetry_Int_Tables_number 127
_symmetry_space_group_name_Hall '-P 4 2ab'
_cell_length_a 7.496
_cell_length_b 7.496
_cell_length_c 2.683
_cell_angle_alpha 90.00
_cell_angle_beta 90.00
_cell_angle_gamma 90.00
loop_
_atom_site_label
_atom_site_type_symbol
_atom_site_fract_x
_atom_site_fract_y
_atom_site_fract_z
_atom_site_occupancy
Ca1 Ca 0.000 0.000 0.000 1
Mn1 Mn 0.167 0.333 0.500 1
Ir1 Ir 0.127 0.627 0.000 1
```

(10)
Computed, not measured: Ca2MnIr after structural relaxation at the PBE-GGA level of DFT.

Output
* magnetization: 16.40 μB per cell
* offset from the most stable computed form: 0.78 eV per formula unit

The structure in CIF format:
```
data_Ca2MnIr
_symmetry_space_group_name_H-M 'F m -3 m'
_symmetry_Int_Tables_number 225
_symmetry_space_group_name_Hall '-F 4 2 3'
_cell_length_a 7.030
_cell_length_b 7.030
_cell_length_c 7.030
_cell_angle_alpha 90.00
_cell_angle_beta 90.00
_cell_angle_gamma 90.00
loop_
_atom_site_label
_atom_site_type_symbol
_atom_site_fract_x
_atom_site_fract_y
_atom_site_fract_z
_atom_site_occupancy
Ca1 Ca 0.250 0.250 0.250 1
Mn1 Mn 0.000 0.000 0.000 1
Ir1 Ir 0.000 0.000 0.500 1
```

(11)
Computed, not measured: CaMnIr3 after structural relaxation at the PBE-GGA level of DFT.

Output
* magnetization: 1.18 μB per cell

The structure in CIF format:
```
data_CaMnIr3
_symmetry_space_group_name_H-M 'P m -3 m'
_symmetry_Int_Tables_number 221
_symmetry_space_group_name_Hall '-P 4 2 3'
_cell_length_a 4.684
_cell_length_b 4.684
_cell_length_c 4.684
_cell_angle_alpha 90.00
_cell_angle_beta 90.00
_cell_angle_gamma 90.00
loop_
_atom_site_label
_atom_site_type_symbol
_atom_site_fract_x
_atom_site_fract_y
_atom_site_fract_z
_atom_site_occupancy
Ca1 Ca 0.000 0.000 0.000 1
Mn1 Mn 0.500 0.500 0.500 1
Ir1 Ir 0.000 0.000 0.500 1
```

(12)
Computed, not measured: Ca4MnIr after structural relaxation at the PBE-GGA level of DFT.

Output
* magnetization: 18.71 μB per cell

The structure in CIF format:
```
data_Ca4MnIr
_symmetry_space_group_name_H-M 'F -4 3 m'
_symmetry_Int_Tables_number 216
_symmetry_space_group_name_Hall 'F -4 2 3'
_cell_length_a 8.624
_cell_length_b 8.624
_cell_length_c 8.624
_cell_angle_alpha 90.00
_cell_angle_beta 90.00
_cell_angle_gamma 90.00
loop_
_atom_site_label
_atom_site_type_symbol
_atom_site_fract_x
_atom_site_fract_y
_atom_site_fract_z
_atom_site_occupancy
Ca1 Ca 0.124 0.124 0.124 1
Mn1 Mn 0.000 0.000 0.500 1
Ir1 Ir 0.250 0.250 0.750 1
```

(13)
Computed, not measured: CaMn2Ir after structural relaxation at the PBE-GGA level of DFT.

Output
* magnetization: 32.85 μB per cell

The structure in CIF format:
```
data_CaMn2Ir
_symmetry_space_group_name_H-M 'F -4 3 m'
_symmetry_Int_Tables_number 216
_symmetry_space_group_name_Hall 'F -4 2 3'
_cell_length_a 6.562
_cell_length_b 6.562
_cell_length_c 6.562
_cell_angle_alpha 90.00
_cell_angle_beta 90.00
_cell_angle_gamma 90.00
loop_
_atom_site_label
_atom_site_type_symbol
_atom_site_fract_x
_atom_site_fract_y
_atom_site_fract_z
_atom_site_occupancy
Ca1 Ca 0.000 0.000 0.000 1
Mn1 Mn 0.000 0.000 0.500 1
Mn2 Mn 0.250 0.250 0.750 1
Ir1 Ir 0.250 0.250 0.250 1
```

(14)
Computed, not measured: Ca2MnIr after structural relaxation at the PBE-GGA level of DFT.

Output
* magnetization: 4.05 μB per cell
* offset from the most stable computed form: 0.89 eV per formula unit

The structure in CIF format:
```
data_Ca2MnIr
_symmetry_space_group_name_H-M 'P 4/m m m'
_symmetry_Int_Tables_number 123
_symmetry_space_group_name_Hall '-P 4 2'
_cell_length_a 4.605
_cell_length_b 4.605
_cell_length_c 4.048
_cell_angle_alpha 90.00
_cell_angle_beta 90.00
_cell_angle_gamma 90.00
loop_
_atom_site_label
_atom_site_type_symbol
_atom_site_fract_x
_atom_site_fract_y
_atom_site_fract_z
_atom_site_occupancy
Ca1 Ca 0.000 0.500 0.000 1
Mn1 Mn 0.000 0.000 0.500 1
Ir1 Ir 0.500 0.500 0.500 1
```

no.,ΔH_f (0 K) (meV/atom)
1,1072
2,261
3,-60
4,152
5,556
6,-85
7,483
8,328
9,85
10,145
11,2732
12,921
13,336
14,171